First-principles (PBE-GGA) data for SrH4O3 after structural relaxation, as listed in the Alexandria database.

a = 3.6984 Å, b = 6.2034 Å, c = 6.7401 Å
α = 90.00°, β = 90.00°, γ = 90.00°
Atoms (fractional coordinates):
H 0.2093 0.8808 0.3300
H 0.7907 0.1192 0.8300
H 0.2093 0.1192 0.8300
H 0.7907 0.8808 0.3300
H 0.5000 0.0324 0.1050
H 0.5000 0.9676 0.6050
H 0.5000 0.7044 0.0973
H 0.5000 0.2956 0.5973
O 0.0000 0.7868 0.3754
O 0.0000 0.2132 0.8754
O 0.5000 0.0604 0.2474
O 0.5000 0.9396 0.7474
O 0.5000 0.5625 0.0346
O 0.5000 0.4375 0.5346
Sr 0.0000 0.3710 0.2492
Sr 0.0000 0.6290 0.7492

Values from the calculation:
size of the total moment	0.002	μB/f.u.
volume	154.6	Å³/cell
E_tot	-5.303	eV/atom
offset from the most stable computed form	0	meV/atom